First-principles (PBE) data for crystalline BeAu2SCl at its relaxed geometry, as listed in Alexandria.

a b c (Å): 4.812 4.812 4.009
angles (deg): 90.00 90.00 90.00
Space group P4/mmm (No. 123)
Asymmetric unit:
1 Be 0.000 0.000 0.000 (multiplicity 1)
2 Au 0.000 0.500 0.000 (multiplicity 2)
3 S 0.500 0.500 0.500 (multiplicity 1)
4 Cl 0.000 0.000 0.500 (multiplicity 1)

Summary:
* final energy: -2.77 eV/atom
* density of states at the Fermi level: 0.361 states/eV per atom
* uncorrected formation energy: 0.479 eV/atom
* total moment: 0.00 μB/cell
* calculated volume: 92.8 Å³ per cell

=====

First-principles (PBE) data for crystalline Be2SbAuCl at its relaxed geometry, as listed in Alexandria.

a b c (Å): 4.817 4.817 5.133
angles (deg): 90.00 90.00 90.00
Space group P4/mmm (No. 123)
Asymmetric unit:
1 Be 0.000 0.500 0.000 (multiplicity 2)
2 Sb 0.000 0.000 0.000 (multiplicity 1)
3 Au 0.500 0.500 0.500 (multiplicity 1)
4 Cl 0.000 0.000 0.500 (multiplicity 1)

Summary:
* final energy: -2.46 eV/atom
* density of states at the Fermi level: 0.697 states/eV per atom
* uncorrected formation energy: 0.877 eV/atom
* total moment: 0.00 μB/cell
* calculated volume: 119.1 Å³ per cell

=====

First-principles (PBE) data for crystalline Be2SiAuCl at its relaxed geometry, as listed in Alexandria.

a b c (Å): 4.374 4.374 4.880
angles (deg): 90.00 90.00 90.00
Space group P4/mmm (No. 123)
Asymmetric unit:
1 Be 0.000 0.500 0.000 (multiplicity 2)
2 Si 0.000 0.000 0.000 (multiplicity 1)
3 Au 0.000 0.000 0.500 (multiplicity 1)
4 Cl 0.500 0.500 0.500 (multiplicity 1)

Summary:
* final energy: -3.17 eV/atom
* density of states at the Fermi level: 0.103 states/eV per atom
* uncorrected formation energy: 0.429 eV/atom
* total moment: 0.00 μB/cell
* calculated volume: 93.4 Å³ per cell

=====

First-principles (PBE) data for crystalline BeCo2Au at its relaxed geometry, as listed in Alexandria.

a b c (Å): 3.413 3.413 17.868
angles (deg): 90.00 90.00 90.00
Space group I-42d (No. 122)
Asymmetric unit:
1 Be 0.000 0.000 0.000 (multiplicity 4)
2 Co 0.216 0.250 0.125 (multiplicity 8)
3 Au 0.000 0.000 0.500 (multiplicity 4)

Summary:
* final energy: -4.96 eV/atom
* density of states at the Fermi level: 0.573 states/eV per atom
* total moment: 13.27 μB/cell
* ΔH_f (0 K): 340 meV/atom
* calculated volume: 208.2 Å³ per cell

=====

First-principles (PBE) data for crystalline BeCo2Au2 at its relaxed geometry, as listed in Alexandria.

a b c (Å): 5.741 5.741 4.160
angles (deg): 90.00 90.00 90.00
Space group P4/mbm (No. 127)
Asymmetric unit:
1 Be 0.000 0.000 0.000 (multiplicity 2)
2 Co 0.137 0.363 0.000 (multiplicity 4)
3 Au 0.175 0.675 0.500 (multiplicity 4)

Summary:
* final energy: -4.66 eV/atom
* density of states at the Fermi level: 0.855 states/eV per atom
* total moment: 5.32 μB/cell
* ΔH_f (0 K): 240 meV/atom
* calculated volume: 137.1 Å³ per cell

=====

First-principles (PBE) data for crystalline BeCo2Au at its relaxed geometry, as listed in Alexandria.

a b c (Å): 3.492 3.492 3.964
angles (deg): 90.00 90.00 90.00
Space group P4/mmm (No. 123)
Asymmetric unit:
1 Be 0.000 0.000 0.000 (multiplicity 1)
2 Co 0.000 0.500 0.500 (multiplicity 2)
3 Au 0.500 0.500 0.000 (multiplicity 1)

Summary:
* final energy: -5.22 eV/atom
* density of states at the Fermi level: 1.125 states/eV per atom
* total moment: 3.03 μB/cell
* ΔH_f (0 K): 88 meV/atom
* calculated volume: 48.3 Å³ per cell

=====

First-principles (PBE) data for crystalline Be2CoAu2 at its relaxed geometry, as listed in Alexandria.

a b c (Å): 6.551 6.551 2.949
angles (deg): 90.00 90.00 90.00
Space group P4/mbm (No. 127)
Asymmetric unit:
1 Be 0.130 0.370 0.000 (multiplicity 4)
2 Co 0.000 0.000 0.000 (multiplicity 2)
3 Au 0.168 0.668 0.500 (multiplicity 4)

Summary:
* final energy: -4.22 eV/atom
* density of states at the Fermi level: 0.707 states/eV per atom
* total moment: 3.23 μB/cell
* ΔH_f (0 K): -2 meV/atom
* calculated volume: 126.6 Å³ per cell

=====

First-principles (PBE) data for crystalline BeCo4Au at its relaxed geometry, as listed in Alexandria.

a b c (Å): 6.669 6.669 6.669
angles (deg): 90.00 90.00 90.00
Space group F-43m (No. 216)
Asymmetric unit:
1 Be 0.000 0.000 0.000 (multiplicity 4)
2 Co 0.125 0.125 0.625 (multiplicity 16)
3 Au 0.250 0.250 0.250 (multiplicity 4)

Summary:
* final energy: -5.63 eV/atom
* density of states at the Fermi level: 1.096 states/eV per atom
* total moment: 26.63 μB/cell
* ΔH_f (0 K): 275 meV/atom
* calculated volume: 296.7 Å³ per cell

=====

First-principles (PBE) data for crystalline Be5Co4Au at its relaxed geometry, as listed in Alexandria.

a b c (Å): 2.693 2.693 13.193
angles (deg): 90.00 90.00 90.00
Space group P4/mmm (No. 123)
Asymmetric unit:
1 Be 0.000 0.000 0.000 (multiplicity 1)
2 Be 0.000 0.000 0.190 (multiplicity 2)
3 Be 0.000 0.000 0.368 (multiplicity 2)
4 Co 0.500 0.500 0.094 (multiplicity 2)
5 Co 0.500 0.500 0.285 (multiplicity 2)
6 Au 0.500 0.500 0.500 (multiplicity 1)

Summary:
* final energy: -5.30 eV/atom
* density of states at the Fermi level: 0.679 states/eV per atom
* total moment: 1.00 μB/cell
* ΔH_f (0 K): -267 meV/atom
* calculated volume: 95.7 Å³ per cell

=====

First-principles (PBE) data for crystalline BeCoAu3 at its relaxed geometry, as listed in Alexandria.

a b c (Å): 4.370 4.370 4.370
angles (deg): 90.00 90.00 90.00
Space group Pm-3m (No. 221)
Asymmetric unit:
1 Be 0.000 0.000 0.000 (multiplicity 1)
2 Co 0.500 0.500 0.500 (multiplicity 1)
3 Au 0.000 0.000 0.500 (multiplicity 3)

Summary:
* final energy: -3.65 eV/atom
* density of states at the Fermi level: 0.683 states/eV per atom
* total moment: 1.89 μB/cell
* ΔH_f (0 K): 482 meV/atom
* calculated volume: 83.4 Å³ per cell

=====

First-principles (PBE) data for crystalline BeCo2Au at its relaxed geometry, as listed in Alexandria.

a b c (Å): 4.864 7.545 2.718
angles (deg): 90.00 90.00 90.00
Space group Cmmm (No. 65)
Asymmetric unit:
1 Be 0.000 0.000 0.000 (multiplicity 2)
2 Co 0.250 0.250 0.500 (multiplicity 4)
3 Au 0.000 0.500 0.000 (multiplicity 2)

Summary:
* final energy: -5.08 eV/atom
* density of states at the Fermi level: 0.906 states/eV per atom
* total moment: 5.70 μB/cell
* ΔH_f (0 K): 220 meV/atom
* calculated volume: 99.7 Å³ per cell

=====

First-principles (PBE) data for crystalline BeCo2Au at its relaxed geometry, as listed in Alexandria.

a b c (Å): 3.735 3.735 6.915
angles (deg): 90.00 90.00 90.00
Space group I-4m2 (No. 119)
Asymmetric unit:
1 Be 0.000 0.000 0.000 (multiplicity 2)
2 Co 0.000 0.000 0.500 (multiplicity 2)
3 Co 0.000 0.500 0.250 (multiplicity 2)
4 Au 0.000 0.500 0.750 (multiplicity 2)

Summary:
* final energy: -5.21 eV/atom
* density of states at the Fermi level: 0.965 states/eV per atom
* total moment: 5.68 μB/cell
* ΔH_f (0 K): 92 meV/atom
* calculated volume: 96.5 Å³ per cell

=====

First-principles (PBE) data for crystalline BeCo2Au at its relaxed geometry, as listed in Alexandria.

a b c (Å): 2.668 3.703 5.031
angles (deg): 90.00 101.93 90.00
Space group P2/m (No. 10)
Asymmetric unit:
1 Be 0.000 0.000 0.000 (multiplicity 1)
2 Co 0.392 0.500 0.207 (multiplicity 2)
3 Au 0.000 0.000 0.500 (multiplicity 1)

Summary:
* final energy: -5.18 eV/atom
* density of states at the Fermi level: 0.974 states/eV per atom
* total moment: 2.79 μB/cell
* ΔH_f (0 K): 126 meV/atom
* calculated volume: 48.6 Å³ per cell

=====

First-principles (PBE) data for crystalline Be5CoAu4 at its relaxed geometry, as listed in Alexandria.

a b c (Å): 2.902 2.902 14.473
angles (deg): 90.00 90.00 90.00
Space group P4/mmm (No. 123)
Asymmetric unit:
1 Be 0.000 0.000 0.000 (multiplicity 1)
2 Be 0.000 0.000 0.208 (multiplicity 2)
3 Be 0.000 0.000 0.424 (multiplicity 2)
4 Co 0.500 0.500 0.500 (multiplicity 1)
5 Au 0.500 0.500 0.107 (multiplicity 2)
6 Au 0.500 0.500 0.313 (multiplicity 2)

Summary:
* final energy: -4.02 eV/atom
* density of states at the Fermi level: 0.408 states/eV per atom
* total moment: 0.24 μB/cell
* ΔH_f (0 K): -136 meV/atom
* calculated volume: 121.9 Å³ per cell